Record 1
Computed, not measured: a geometry-optimized AlO structure at the PBE-GGA level of DFT.

energy relative to the elements, uncorrected = -4.2 eV per formula unit
total magnetization = 0.0000 μB/atom

abc: 4.4988 5.5864 7.4259
angles: 90.00 90.00 90.00
Sites, in units of the cell vectors:
1 Al 0.2133 0.0356 0.0035
2 Al 0.2475 0.3548 0.2962
3 Al 0.2525 0.6452 0.7962
4 Al 0.2867 0.9644 0.5035
5 Al 0.7133 0.4644 0.9965
6 Al 0.7475 0.1452 0.7038
7 Al 0.7525 0.8548 0.2038
8 Al 0.7867 0.5356 0.4965
9 O 0.0545 0.3214 0.0824
10 O 0.0822 0.9663 0.7537
11 O 0.4178 0.0337 0.2537
12 O 0.4455 0.6786 0.5824
13 O 0.5545 0.1786 0.9176
14 O 0.5822 0.5337 0.2463
15 O 0.9178 0.4663 0.7463
16 O 0.9455 0.8214 0.4176



Record 2
Computed, not measured: a geometry-optimized AlO4 structure at the PBE-GGA level of DFT.

energy relative to the elements, uncorrected = -1.9 eV per formula unit
total magnetization = 1.0000 μB/atom

abc: 3.7359 3.7359 3.7359
angles: 90.00 90.00 90.00
Sites, in units of the cell vectors:
1 Al 0.0000 0.0000 0.0000
2 O 0.0000 0.0000 0.5000
3 O 0.0000 0.5000 0.0000
4 O 0.5000 0.0000 0.0000
5 O 0.5000 0.5000 0.5000



Record 3
Computed, not measured: a geometry-optimized AlO structure at the PBE-GGA level of DFT.

energy relative to the elements, uncorrected = -4.1 eV per formula unit
total magnetization = 0.0000 μB/atom

abc: 7.9134 7.9134 2.9754
angles: 90.00 90.00 90.00
Sites, in units of the cell vectors:
1 Al 0.0679 0.2382 0.0000
2 Al 0.2382 0.9321 0.0000
3 Al 0.2507 0.5771 0.5000
4 Al 0.4229 0.2507 0.5000
5 Al 0.5771 0.7493 0.5000
6 Al 0.7493 0.4229 0.5000
7 Al 0.7618 0.0679 0.0000
8 Al 0.9321 0.7618 0.0000
9 O 0.1278 0.6230 0.0000
10 O 0.1940 0.3429 0.5000
11 O 0.3429 0.8060 0.5000
12 O 0.3770 0.1278 0.0000
13 O 0.6230 0.8722 0.0000
14 O 0.6571 0.1940 0.5000
15 O 0.8060 0.6571 0.5000
16 O 0.8722 0.3770 0.0000



Record 4
Computed, not measured: a geometry-optimized AlO structure at the PBE-GGA level of DFT.

energy relative to the elements, uncorrected = -3.3 eV per formula unit
total magnetization = 0.0000 μB/atom

abc: 5.5294 5.5294 3.2145
angles: 90.00 90.00 90.00
Sites, in units of the cell vectors:
1 Al 0.2003 0.2003 0.0000
2 Al 0.2997 0.7003 0.5000
3 Al 0.7003 0.2997 0.5000
4 Al 0.7997 0.7997 0.0000
5 O 0.1590 0.8410 0.0000
6 O 0.3410 0.3410 0.5000
7 O 0.6590 0.6590 0.5000
8 O 0.8410 0.1590 0.0000



Record 5
Computed, not measured: a geometry-optimized AlO structure at the PBE-GGA level of DFT.

energy relative to the elements, uncorrected = -3.3 eV per formula unit
total magnetization = 0.0000 μB/atom

abc: 3.3151 3.3151 3.3639
angles: 98.87 98.87 127.75
Sites, in units of the cell vectors:
1 Al 0.0000 0.0000 0.0000
2 O 0.6874 0.3126 0.0000



Record 6
Computed, not measured: a geometry-optimized AlO structure at the PBE-GGA level of DFT.

energy relative to the elements, uncorrected = -3.4 eV per formula unit
total magnetization = 0.0000 μB/atom

abc: 5.2100 5.2100 5.2100
angles: 109.47 109.47 109.47
Sites, in units of the cell vectors:
1 Al 0.0000 0.0000 0.3499
2 Al 0.0000 0.3499 0.0000
3 Al 0.3499 0.0000 0.0000
4 Al 0.6501 0.6501 0.6501
5 O 0.0000 0.0000 0.7006
6 O 0.0000 0.7006 0.0000
7 O 0.2994 0.2994 0.2994
8 O 0.7006 0.0000 0.0000